[1]
The following is a PBE calculation of crystalline ZrNbNO2 at its relaxed geometry, from Alexandria via LeMat-Bulk.

N(E_F): 0.62 states/eV per atom
Calculated total energy: -8.3464 eV per atom
Space-group type: P4/mmm

The structure in CIF format:
```
data_ZrNbNO2
_cell_length_a 4.037
_cell_length_b 4.037
_cell_length_c 4.337
_cell_angle_alpha 90.00
_cell_angle_beta 90.00
_cell_angle_gamma 90.00
_symmetry_space_group_name_H-M 'P 1'
_symmetry_Int_Tables_number 1
loop_
_symmetry_equiv_pos_as_xyz
'x,y,z'
loop_
_atom_site_label
_atom_site_type_symbol
_atom_site_fract_x
_atom_site_fract_y
_atom_site_fract_z
Nb1 Nb 0.500 0.500 0.500
O1 O 0.000 0.500 0.000
O2 O 0.500 0.000 0.000
Zr1 Zr 0.000 0.000 0.000
N1 N 0.000 0.000 0.500
```

---

[2]
The following is a PBE calculation of crystalline ScNbAl at its relaxed geometry, from Alexandria via LeMat-Bulk.

N(E_F): 1.17 states/eV per atom
Energy of formation: -0.115 eV per atom
Distance to the lowest polymorph of the same formula: 93 meV per atom
Calculated total energy: -6.8293 eV per atom
Space-group type: I4/mmm

The structure in CIF format:
```
data_ScNbAl
_cell_length_a 3.379
_cell_length_b 3.379
_cell_length_c 11.350
_cell_angle_alpha 98.56
_cell_angle_beta 98.56
_cell_angle_gamma 90.00
_symmetry_space_group_name_H-M 'P 1'
_symmetry_Int_Tables_number 1
loop_
_symmetry_equiv_pos_as_xyz
'x,y,z'
loop_
_atom_site_label
_atom_site_type_symbol
_atom_site_fract_x
_atom_site_fract_y
_atom_site_fract_z
Nb1 Nb 0.282 0.282 0.565
Nb2 Nb 0.718 0.718 0.435
Al1 Al 0.151 0.151 0.302
Al2 Al 0.849 0.849 0.698
Sc1 Sc 0.573 0.573 0.145
Sc2 Sc 0.427 0.427 0.855
```

---

[3]
The following is a PBE calculation of crystalline K2LiBeN2 at its relaxed geometry, from Alexandria via LeMat-Bulk.

N(E_F): 0.39 states/eV per atom
Calculated total energy: -4.1931 eV per atom
Space-group type: Ibam

The structure in CIF format:
```
data_K2LiBeN2
_cell_length_a 4.981
_cell_length_b 4.681
_cell_length_c 10.378
_cell_angle_alpha 103.03
_cell_angle_beta 103.88
_cell_angle_gamma 90.00
_symmetry_space_group_name_H-M 'P 1'
_symmetry_Int_Tables_number 1
loop_
_symmetry_equiv_pos_as_xyz
'x,y,z'
loop_
_atom_site_label
_atom_site_type_symbol
_atom_site_fract_x
_atom_site_fract_y
_atom_site_fract_z
K1 K 0.371 0.124 0.248
K2 K 0.629 0.876 0.752
K3 K 0.123 0.376 0.752
K4 K 0.877 0.624 0.248
Li1 Li 0.000 0.750 0.000
Li2 Li 0.000 0.250 0.000
Be1 Be 0.500 0.750 0.000
Be2 Be 0.500 0.250 0.000
N1 N 0.750 0.045 0.090
N2 N 0.340 0.545 0.090
N3 N 0.660 0.455 0.910
N4 N 0.250 0.955 0.910
```

---

[4]
The following is a PBE calculation of crystalline PaReHg at its relaxed geometry, from Alexandria via LeMat-Bulk.

N(E_F): 1.02 states/eV per atom
Energy of formation: -0.048 eV per atom
Calculated total energy: -7.4633 eV per atom
Space-group type: P4/nmm

The structure in CIF format:
```
data_PaReHg
_cell_length_a 3.099
_cell_length_b 3.099
_cell_length_c 13.050
_cell_angle_alpha 90.00
_cell_angle_beta 90.00
_cell_angle_gamma 90.00
_symmetry_space_group_name_H-M 'P 1'
_symmetry_Int_Tables_number 1
loop_
_symmetry_equiv_pos_as_xyz
'x,y,z'
loop_
_atom_site_label
_atom_site_type_symbol
_atom_site_fract_x
_atom_site_fract_y
_atom_site_fract_z
Re1 Re 0.000 0.500 0.557
Re2 Re 0.500 0.000 0.443
Pa1 Pa 0.000 0.500 0.281
Pa2 Pa 0.500 0.000 0.719
Hg1 Hg 0.500 0.000 0.090
Hg2 Hg 0.000 0.500 0.910
```

---

[5]
The following is a PBE calculation of crystalline KZrTl2 at its relaxed geometry, from Alexandria via LeMat-Bulk.

N(E_F): 0.62 states/eV per atom
Energy of formation: 0.037 eV per atom
Distance to the lowest polymorph of the same formula: 0 meV per atom
Calculated total energy: -3.5580 eV per atom
Space-group type: Pmmm

The structure in CIF format:
```
data_KZrTl2
_cell_length_a 4.369
_cell_length_b 3.313
_cell_length_c 8.696
_cell_angle_alpha 67.60
_cell_angle_beta 90.00
_cell_angle_gamma 90.00
_symmetry_space_group_name_H-M 'P 1'
_symmetry_Int_Tables_number 1
loop_
_symmetry_equiv_pos_as_xyz
'x,y,z'
loop_
_atom_site_label
_atom_site_type_symbol
_atom_site_fract_x
_atom_site_fract_y
_atom_site_fract_z
K1 K 0.500 0.750 0.750
Tl1 Tl 0.000 0.948 0.053
Tl2 Tl 0.000 0.552 0.447
Zr1 Zr 0.500 0.250 0.250
```

---

[6]
The following is a PBE calculation of crystalline Cs3Tl2Hg5Te2 at its relaxed geometry, from Alexandria via LeMat-Bulk.

N(E_F): 0.28 states/eV per atom
Calculated total energy: -1.6004 eV per atom
Space-group type: I4/mmm

The structure in CIF format:
```
data_Cs3Tl2Hg5Te2
_cell_length_a 5.474
_cell_length_b 5.474
_cell_length_c 19.508
_cell_angle_alpha 98.07
_cell_angle_beta 98.07
_cell_angle_gamma 90.00
_symmetry_space_group_name_H-M 'P 1'
_symmetry_Int_Tables_number 1
loop_
_symmetry_equiv_pos_as_xyz
'x,y,z'
loop_
_atom_site_label
_atom_site_type_symbol
_atom_site_fract_x
_atom_site_fract_y
_atom_site_fract_z
Cs1 Cs 0.204 0.204 0.408
Cs2 Cs 0.796 0.796 0.592
Cs3 Cs 0.000 0.000 0.000
Tl1 Tl 0.381 0.381 0.762
Tl2 Tl 0.619 0.619 0.238
Hg1 Hg 0.570 0.070 0.139
Hg2 Hg 0.430 0.930 0.861
Hg3 Hg 0.070 0.570 0.139
Hg4 Hg 0.930 0.430 0.861
Hg5 Hg 0.500 0.500 0.000
Te1 Te 0.693 0.693 0.387
Te2 Te 0.307 0.307 0.613
```

---

[7]
The following is a PBE calculation of crystalline Ca2NiPt at its relaxed geometry, from Alexandria via LeMat-Bulk.

N(E_F): 0.68 states/eV per atom
Energy of formation: -0.187 eV per atom
Calculated total energy: -4.1438 eV per atom
Space-group type: R-3m

The structure in CIF format:
```
data_Ca2NiPt
_cell_length_a 7.208
_cell_length_b 7.208
_cell_length_c 7.208
_cell_angle_alpha 32.67
_cell_angle_beta 32.67
_cell_angle_gamma 32.67
_symmetry_space_group_name_H-M 'P 1'
_symmetry_Int_Tables_number 1
loop_
_symmetry_equiv_pos_as_xyz
'x,y,z'
loop_
_atom_site_label
_atom_site_type_symbol
_atom_site_fract_x
_atom_site_fract_y
_atom_site_fract_z
Ni1 Ni 0.250 0.250 0.250
Ca1 Ca 0.001 0.001 0.001
Ca2 Ca 0.499 0.499 0.499
Pt1 Pt 0.750 0.750 0.750
```

---

[8]
The following is a PBE calculation of crystalline K4Dy3SnO8 at its relaxed geometry, from Alexandria via LeMat-Bulk.

N(E_F): 0.10 states/eV per atom
Calculated total energy: -6.2666 eV per atom
Space-group type: R-3m

The structure in CIF format:
```
data_K4Dy3SnO8
_cell_length_a 6.967
_cell_length_b 7.447
_cell_length_c 6.967
_cell_angle_alpha 117.88
_cell_angle_beta 120.00
_cell_angle_gamma 90.00
_symmetry_space_group_name_H-M 'P 1'
_symmetry_Int_Tables_number 1
loop_
_symmetry_equiv_pos_as_xyz
'x,y,z'
loop_
_atom_site_label
_atom_site_type_symbol
_atom_site_fract_x
_atom_site_fract_y
_atom_site_fract_z
K1 K 0.500 0.000 0.000
K2 K 0.500 0.000 0.500
K3 K 0.000 0.000 0.000
K4 K 0.000 0.000 0.500
Dy1 Dy 0.500 0.500 0.000
Dy2 Dy 0.500 0.500 0.500
Dy3 Dy 0.000 0.500 0.500
Sn1 Sn 0.000 0.500 0.000
O1 O 0.230 0.687 0.957
O2 O 0.230 0.687 0.460
O3 O 0.272 0.316 0.544
O4 O 0.727 0.687 0.957
O5 O 0.273 0.313 0.043
O6 O 0.728 0.684 0.456
O7 O 0.770 0.313 0.540
O8 O 0.770 0.313 0.043
```

---

[9]
The following is a PBE calculation of crystalline LiCaCd4Ag2 at its relaxed geometry, from Alexandria via LeMat-Bulk.

N(E_F): 0.29 states/eV per atom
Energy of formation: -0.208 eV per atom
Calculated total energy: -1.8674 eV per atom
Space-group type: R-3m

The structure in CIF format:
```
data_LiCaCd4Ag2
_cell_length_a 4.882
_cell_length_b 4.882
_cell_length_c 8.640
_cell_angle_alpha 73.59
_cell_angle_beta 73.59
_cell_angle_gamma 60.00
_symmetry_space_group_name_H-M 'P 1'
_symmetry_Int_Tables_number 1
loop_
_symmetry_equiv_pos_as_xyz
'x,y,z'
loop_
_atom_site_label
_atom_site_type_symbol
_atom_site_fract_x
_atom_site_fract_y
_atom_site_fract_z
Li1 Li 0.500 0.500 0.500
Ca1 Ca 0.000 0.000 0.000
Cd1 Cd 0.388 0.388 0.837
Cd2 Cd 0.869 0.869 0.393
Cd3 Cd 0.131 0.131 0.607
Cd4 Cd 0.612 0.612 0.163
Ag1 Ag 0.749 0.749 0.754
Ag2 Ag 0.251 0.251 0.246
```

---

[10]
The following is a PBE calculation of crystalline LaY2Ni at its relaxed geometry, from Alexandria via LeMat-Bulk.

N(E_F): 1.60 states/eV per atom
Energy of formation: -0.107 eV per atom
Distance to the lowest polymorph of the same formula: 110 meV per atom
Calculated total energy: -6.0162 eV per atom
Space-group type: P4mm

The structure in CIF format:
```
data_LaY2Ni
_cell_length_a 3.524
_cell_length_b 3.524
_cell_length_c 8.894
_cell_angle_alpha 90.00
_cell_angle_beta 90.00
_cell_angle_gamma 90.00
_symmetry_space_group_name_H-M 'P 1'
_symmetry_Int_Tables_number 1
loop_
_symmetry_equiv_pos_as_xyz
'x,y,z'
loop_
_atom_site_label
_atom_site_type_symbol
_atom_site_fract_x
_atom_site_fract_y
_atom_site_fract_z
La1 La 0.000 0.000 0.562
Ni1 Ni 0.500 0.500 0.765
Y1 Y 0.000 0.000 0.936
Y2 Y 0.500 0.500 0.238
```

---

[11]
The following is a PBE calculation of crystalline Cu2TcNi at its relaxed geometry, from Alexandria via LeMat-Bulk.

N(E_F): 1.19 states/eV per atom
Energy of formation: 0.203 eV per atom
Distance to the lowest polymorph of the same formula: 152 meV per atom
Calculated total energy: -5.8816 eV per atom
Space-group type: P2/m

The structure in CIF format:
```
data_Cu2TcNi
_cell_length_a 4.256
_cell_length_b 2.493
_cell_length_c 4.721
_cell_angle_alpha 83.32
_cell_angle_beta 90.00
_cell_angle_gamma 90.00
_symmetry_space_group_name_H-M 'P 1'
_symmetry_Int_Tables_number 1
loop_
_symmetry_equiv_pos_as_xyz
'x,y,z'
loop_
_atom_site_label
_atom_site_type_symbol
_atom_site_fract_x
_atom_site_fract_y
_atom_site_fract_z
Cu1 Cu 0.000 0.078 0.007
Cu2 Cu 0.000 0.422 0.493
Ni1 Ni 0.500 0.250 0.250
Tc1 Tc 0.500 0.750 0.750
```

---

[12]
The following is a PBE calculation of crystalline RbPtI2N at its relaxed geometry, from Alexandria via LeMat-Bulk.

N(E_F): 2.25 states/eV per atom
Distance to the lowest polymorph of the same formula: 2043 meV per atom
Calculated total energy: -1.7553 eV per atom
Space-group type: P4/mmm

The structure in CIF format:
```
data_RbPtI2N
_cell_length_a 6.509
_cell_length_b 6.509
_cell_length_c 4.395
_cell_angle_alpha 90.00
_cell_angle_beta 90.00
_cell_angle_gamma 90.00
_symmetry_space_group_name_H-M 'P 1'
_symmetry_Int_Tables_number 1
loop_
_symmetry_equiv_pos_as_xyz
'x,y,z'
loop_
_atom_site_label
_atom_site_type_symbol
_atom_site_fract_x
_atom_site_fract_y
_atom_site_fract_z
I1 I 0.000 0.500 0.000
I2 I 0.500 0.000 0.000
Rb1 Rb 0.000 0.000 0.000
Pt1 Pt 0.500 0.500 0.500
N1 N 0.000 0.000 0.500
```

---

- Look up the N(E_F) of the tenth one.
  1.60 states/eV per atom

---

- Which of these has the lowest N(E_F)?
  K4Dy3SnO8

---

- Which of these has the lowest N(E_F)?
  K4Dy3SnO8

---

- Look up the N(E_F) of the third one.
  0.39 states/eV per atom